Arrangement i

Nb2VW | PBE-GGA | relaxed

Cell lengths 4.532, 4.539, 4.531 Å; angles 60.04, 90.00, 119.95 degrees
Element x y z (fractional)
Nb 0.000 0.000 0.000
Nb 0.750 0.500 0.750
W 0.500 0.000 0.500
V 0.250 0.500 0.250

=====

Arrangement ii

Nb2VW | PBE-GGA | relaxed

Cell lengths 3.223, 4.537, 4.537 Å; angles 90.00, 90.00, 90.00 degrees
Element x y z (fractional)
Nb 0.000 0.000 0.500
Nb 0.000 0.500 0.000
W 0.500 0.000 0.000
V 0.500 0.500 0.500

=====

Arrangement iii

Nb2VW | PBE-GGA | relaxed

Cell lengths 7.182, 7.182, 5.772 Å; angles 51.53, 51.53, 90.00 degrees
Element x y z (fractional)
W 0.000 0.000 0.000
W 0.750 0.250 0.500
Nb 0.875 0.868 0.750
Nb 0.618 0.125 0.250
Nb 0.132 0.625 0.250
Nb 0.375 0.382 0.750
V 0.250 0.750 0.500
V 0.500 0.500 0.000

=====

arrangement ii ends up most stable, edging out the next structure by 0.9 kJ/mol of atoms.

=====

Arrangement i

Nb2VW | PBE-GGA | relaxed

Cell lengths 3.217, 3.217, 6.404 Å; angles 90.00, 90.00, 90.00 degrees
Element x y z (fractional)
Nb 0.000 0.000 0.753
Nb 0.000 0.000 0.247
W 0.500 0.500 0.500
V 0.500 0.500 0.000

=====

Arrangement ii

Nb2VW | PBE-GGA | relaxed

Cell lengths 4.547, 4.547, 4.547 Å; angles 60.00, 60.00, 60.00 degrees
Element x y z (fractional)
W 0.500 0.500 0.500
Nb 0.250 0.250 0.250
Nb 0.750 0.750 0.750
V 0.000 0.000 0.000

=====

arrangement ii ends up most stable, edging out the next structure by 0.8 kJ/mol of atoms.

=====

Arrangement i

Nb2VW2 | PBE-GGA | relaxed

Cell lengths 2.980, 6.070, 9.802 Å; angles 90.00, 90.00, 90.00 degrees
Element x y z (fractional)
Nb 0.000 0.830 0.704
Nb 0.000 0.170 0.296
Nb 0.000 0.670 0.204
Nb 0.000 0.330 0.796
V 0.000 0.500 0.500
V 0.000 0.000 0.000
W 0.500 0.667 0.926
W 0.500 0.333 0.074
W 0.500 0.833 0.426
W 0.500 0.167 0.574

=====

Arrangement ii

Nb2VW2 | PBE-GGA | relaxed

Cell lengths 5.351, 5.352, 3.897 Å; angles 68.80, 68.79, 62.13 degrees
Element x y z (fractional)
W 0.262 0.238 0.500
W 0.738 0.762 0.500
Nb 0.701 0.201 0.800
Nb 0.299 0.799 0.200
V 0.000 0.500 0.000

=====

arrangement ii ends up most stable, edging out the next structure by 4.5 kJ/mol of atoms.

=====

Arrangement i

Nb2V3W | PBE-GGA | relaxed

Cell lengths 4.552, 5.292, 9.787 Å; angles 78.23, 62.29, 63.99 degrees
Element x y z (fractional)
W 0.331 0.337 0.000
W 0.669 0.663 0.000
V 0.585 0.339 0.244
V 0.074 0.339 0.756
V 0.743 0.000 0.757
V 0.926 0.661 0.244
V 0.257 0.000 0.243
V 0.415 0.661 0.756
Nb 0.166 0.667 0.500
Nb 0.834 0.333 0.500
Nb 0.000 0.000 0.000
Nb 0.500 0.000 0.500

=====

Arrangement ii

Nb2V3W | PBE-GGA | relaxed

Cell lengths 5.114, 5.114, 5.143 Å; angles 90.01, 119.81, 119.99 degrees
Element x y z (fractional)
V 0.500 0.000 0.500
V 0.000 0.000 0.500
V 0.500 0.500 0.500
Nb 0.249 0.625 0.874
Nb 0.751 0.375 0.126
W 0.000 0.000 0.000

=====

arrangement ii ends up most stable, edging out the next structure by 11.2 kJ/mol of atoms.